Entry 1:
{
  "formula": "Hf2PtN",
  "functional": "PBE-GGA",
  "state": "optimized geometry",
  "cell": [[1.6028, 0.9254, 6.9313], [-1.6028, 0.9254, 6.9313], [0.0000, -1.8508, 6.9313]],
  "species": ["Hf", "Hf", "Pt", "N"],
  "frac_coords": [[0.2285, 0.2285, 0.2285], [0.7715, 0.7715, 0.7715], [0.0000, 0.0000, 0.0000], [0.5000, 0.5000, 0.5000]],
  "n_ef_per_ev_cell": 3.0,
  "rho_g_cm3": 15.2,
  "final_energy_ev_per_atom": -9.81,
  "spacegroup": "R-3m (166)"
}

Entry 2:
{
  "formula": "HfPtN3",
  "functional": "PBE-GGA",
  "state": "optimized geometry",
  "cell": [[3.8770, 0.0000, 0.0000], [0.0000, 3.8770, 0.0000], [0.0000, 0.0000, 3.8770]],
  "species": ["Hf", "Pt", "N", "N", "N"],
  "frac_coords": [[0.0000, 0.0000, 0.0000], [0.5000, 0.5000, 0.5000], [0.0000, 0.5000, 0.5000], [0.5000, 0.0000, 0.5000], [0.5000, 0.5000, 0.0000]],
  "n_ef_per_ev_cell": 4.3,
  "rho_g_cm3": 11.8,
  "final_energy_ev_per_atom": -7.23,
  "spacegroup": "Pm-3m (221)"
}

Entry 3:
{
  "formula": "Hf7Pt2N2",
  "functional": "PBE-GGA",
  "state": "optimized geometry",
  "cell": [[5.0959, -3.4296, 0.0000], [5.0959, 3.4296, 0.0000], [-0.4317, 0.0000, 5.6316]],
  "species": ["Hf", "Hf", "Hf", "Hf", "Hf", "Hf", "Hf", "Pt", "Pt", "N", "N"],
  "frac_coords": [[0.0000, 0.0000, 0.0000], [0.0752, 0.5127, 0.7637], [0.4321, 0.4321, 0.2230], [0.4873, 0.9248, 0.2363], [0.5127, 0.0752, 0.7637], [0.5679, 0.5679, 0.7770], [0.9248, 0.4873, 0.2363], [0.1904, 0.8096, 0.5000], [0.8096, 0.1904, 0.5000], [0.2271, 0.2271, 0.0292], [0.7729, 0.7729, 0.9708]],
  "n_ef_per_ev_cell": 9.2,
  "rho_g_cm3": 14.1,
  "final_energy_ev_per_atom": -9.74,
  "spacegroup": "C2/m (12)"
}

Entry 4:
{
  "formula": "Hf3PtN",
  "functional": "PBE-GGA",
  "state": "optimized geometry",
  "cell": [[-2.4567, 2.4567, 9.7654], [2.4567, -2.4567, 9.7654], [2.4567, 2.4567, -9.7654]],
  "species": ["Hf", "Hf", "Hf", "Hf", "Hf", "Hf", "Pt", "Pt", "N", "N"],
  "frac_coords": [[0.1983, 0.1983, 0.0000], [0.3756, 0.6208, 0.7548], [0.3792, 0.1340, 0.7548], [0.3792, 0.6244, 0.2452], [0.8017, 0.8017, 0.0000], [0.8660, 0.6208, 0.2452], [0.2500, 0.7500, 0.5000], [0.5000, 0.5000, 0.0000], [0.6585, 0.1585, 0.5000], [0.8415, 0.3415, 0.5000]],
  "n_ef_per_ev_cell": 7.5,
  "rho_g_cm3": 10.5,
  "final_energy_ev_per_atom": -8.19,
  "spacegroup": "I-4m2 (119)"
}

Entry 5:
{
  "formula": "Hf3PtN",
  "functional": "PBE-GGA",
  "state": "optimized geometry",
  "cell": [[2.9949, 1.7291, 5.5937], [-2.9949, 1.7291, 5.5937], [0.0000, -3.4582, 5.5937]],
  "species": ["Hf", "Hf", "Hf", "Hf", "Hf", "Hf", "Pt", "Pt", "N", "N"],
  "frac_coords": [[0.0896, 0.0896, 0.5867], [0.0896, 0.5867, 0.0896], [0.4133, 0.9104, 0.9104], [0.5867, 0.0896, 0.0896], [0.9104, 0.4133, 0.9104], [0.9104, 0.9104, 0.4133], [0.3931, 0.3931, 0.3931], [0.6069, 0.6069, 0.6069], [0.1663, 0.1663, 0.1663], [0.8337, 0.8337, 0.8337]],
  "n_ef_per_ev_cell": 7.9,
  "rho_g_cm3": 14.2,
  "final_energy_ev_per_atom": -9.67,
  "spacegroup": "R-3m (166)"
}

Entry 6:
{
  "formula": "Hf2PtN",
  "functional": "PBE-GGA",
  "state": "optimized geometry",
  "cell": [[-3.0890, 3.0890, 3.6885], [3.0890, -3.0890, 3.6885], [3.0890, 3.0890, -3.6885]],
  "species": ["Hf", "Hf", "Hf", "Hf", "Pt", "Pt", "N", "N"],
  "frac_coords": [[0.0521, 0.1250, 0.4271], [0.3750, 0.9479, 0.0729], [0.6979, 0.6250, 0.5729], [0.8750, 0.3021, 0.9271], [0.2500, 0.7500, 0.5000], [0.5000, 0.5000, 0.0000], [0.0000, 0.0000, 0.0000], [0.7500, 0.2500, 0.5000]],
  "n_ef_per_ev_cell": 14.1,
  "rho_g_cm3": 13.4,
  "final_energy_ev_per_atom": -9.62,
  "spacegroup": "I-42d (122)"
}

Entry 7:
{
  "formula": "Hf3PtN",
  "functional": "PBE-GGA",
  "state": "optimized geometry",
  "cell": [[4.1139, 2.3751, 1.7060], [-4.1139, 2.3751, 1.7060], [0.0000, -4.7503, 1.7060]],
  "species": ["Hf", "Hf", "Hf", "Pt", "N"],
  "frac_coords": [[0.2019, 0.2019, 0.5963], [0.2019, 0.5963, 0.2019], [0.5963, 0.2019, 0.2019], [0.8907, 0.8907, 0.8907], [0.4941, 0.4941, 0.4941]],
  "n_ef_per_ev_cell": 10.4,
  "rho_g_cm3": 12.4,
  "final_energy_ev_per_atom": -9.08,
  "spacegroup": "R3m (160)"
}

Entry 8:
{
  "formula": "Hf5Pt4N",
  "functional": "PBE-GGA",
  "state": "optimized geometry",
  "cell": [[-4.2550, 4.2550, 2.4281], [4.2550, -4.2550, 2.4281], [4.2550, 4.2550, -2.4281]],
  "species": ["Hf", "Hf", "Hf", "Hf", "Hf", "Pt", "Pt", "Pt", "Pt", "N"],
  "frac_coords": [[0.0000, 0.0000, 0.0000], [0.2745, 0.6309, 0.9055], [0.3691, 0.2745, 0.6436], [0.6309, 0.7255, 0.3564], [0.7255, 0.3691, 0.0945], [0.0589, 0.3427, 0.4016], [0.3427, 0.9411, 0.2838], [0.6573, 0.0589, 0.7162], [0.9411, 0.6573, 0.5984], [0.5000, 0.5000, 0.0000]],
  "n_ef_per_ev_cell": 6.5,
  "rho_g_cm3": 15.9,
  "final_energy_ev_per_atom": -9.34,
  "spacegroup": "I4/m (87)"
}

Entry 9:
{
  "formula": "Hf3PtN",
  "functional": "PBE-GGA",
  "state": "optimized geometry",
  "cell": [[5.6505, 0.0000, 0.0000], [2.5038, 5.1092, 0.0000], [0.9859, 0.8938, 6.0898]],
  "species": ["Hf", "Hf", "Hf", "Hf", "Hf", "Hf", "Pt", "Pt", "N", "N"],
  "frac_coords": [[0.1298, 0.4227, 0.2658], [0.2730, 0.9958, 0.8880], [0.2950, 0.8274, 0.4386], [0.7050, 0.1726, 0.5614], [0.7270, 0.0042, 0.1120], [0.8702, 0.5773, 0.7342], [0.3667, 0.4851, 0.8397], [0.6333, 0.5149, 0.1603], [0.0629, 0.2040, 0.5832], [0.9371, 0.7960, 0.4168]],
  "n_ef_per_ev_cell": 5.0,
  "rho_g_cm3": 14.1,
  "final_energy_ev_per_atom": -9.91,
  "spacegroup": "P-1 (2)"
}

Entry 10:
{
  "formula": "Hf3PtN",
  "functional": "PBE-GGA",
  "state": "optimized geometry",
  "cell": [[0.0000, 5.7603, 5.7603], [5.7603, 0.0000, 5.7603], [5.7603, 5.7603, 0.0000]],
  "species": ["Hf", "Hf", "Hf", "Hf", "Hf", "Hf", "Hf", "Hf", "Hf", "Hf", "Hf", "Hf", "Pt", "Pt", "Pt", "Pt", "N", "N", "N", "N"],
  "frac_coords": [[0.0731, 0.0731, 0.6769], [0.0731, 0.6769, 0.0731], [0.0731, 0.6769, 0.6769], [0.3231, 0.3231, 0.9269], [0.3231, 0.9269, 0.3231], [0.3231, 0.9269, 0.9269], [0.6769, 0.0731, 0.0731], [0.6769, 0.0731, 0.6769], [0.6769, 0.6769, 0.0731], [0.9269, 0.3231, 0.3231], [0.9269, 0.3231, 0.9269], [0.9269, 0.9269, 0.3231], [0.0000, 0.5000, 0.5000], [0.5000, 0.0000, 0.5000], [0.5000, 0.5000, 0.0000], [0.5000, 0.5000, 0.5000], [0.0000, 0.0000, 0.0000], [0.0000, 0.0000, 0.5000], [0.0000, 0.5000, 0.0000], [0.5000, 0.0000, 0.0000]],
  "n_ef_per_ev_cell": 13.0,
  "rho_g_cm3": 12.9,
  "final_energy_ev_per_atom": -9.42,
  "spacegroup": "Fd-3m (227)"
}

Entry 11:
{
  "formula": "Hf3PtN",
  "functional": "PBE-GGA",
  "state": "optimized geometry",
  "cell": [[4.3929, 0.0000, 0.0000], [0.0000, 4.3929, 0.0000], [0.0000, 0.0000, 6.3633]],
  "species": ["Hf", "Hf", "Hf", "Pt", "N"],
  "frac_coords": [[0.0000, 0.0000, 0.0000], [0.0000, 0.5000, 0.6516], [0.5000, 0.0000, 0.6516], [0.0000, 0.0000, 0.4072], [0.5000, 0.5000, 0.6804]],
  "n_ef_per_ev_cell": 5.6,
  "rho_g_cm3": 10.1,
  "final_energy_ev_per_atom": -8.98,
  "spacegroup": "P4mm (99)"
}

Entry 12:
{
  "formula": "Hf3PtN",
  "functional": "PBE-GGA",
  "state": "optimized geometry",
  "cell": [[4.4983, 0.0000, 0.0000], [-2.2488, 5.0927, 0.0000], [-0.0053, -1.0908, 7.7616]],
  "species": ["Hf", "Hf", "Hf", "Hf", "Hf", "Hf", "Pt", "Pt", "N", "N"],
  "frac_coords": [[0.0318, 0.0639, 0.3115], [0.2695, 0.5391, 0.8369], [0.3351, 0.6703, 0.4462], [0.6649, 0.3297, 0.5538], [0.7305, 0.4609, 0.1631], [0.9682, 0.9361, 0.6885], [0.4321, 0.8651, 0.1376], [0.5679, 0.1349, 0.8624], [0.1494, 0.2982, 0.5687], [0.8506, 0.7018, 0.4313]],
  "n_ef_per_ev_cell": 4.2,
  "rho_g_cm3": 13.9,
  "final_energy_ev_per_atom": -9.92,
  "spacegroup": "P-1 (2)"
}

Please write out number 3 again, unchanged.
{
  "formula": "Hf7Pt2N2",
  "functional": "PBE-GGA",
  "state": "optimized geometry",
  "cell": [[5.0959, -3.4296, 0.0000], [5.0959, 3.4296, 0.0000], [-0.4317, 0.0000, 5.6316]],
  "species": ["Hf", "Hf", "Hf", "Hf", "Hf", "Hf", "Hf", "Pt", "Pt", "N", "N"],
  "frac_coords": [[0.0000, 0.0000, 0.0000], [0.0752, 0.5127, 0.7637], [0.4321, 0.4321, 0.2230], [0.4873, 0.9248, 0.2363], [0.5127, 0.0752, 0.7637], [0.5679, 0.5679, 0.7770], [0.9248, 0.4873, 0.2363], [0.1904, 0.8096, 0.5000], [0.8096, 0.1904, 0.5000], [0.2271, 0.2271, 0.0292], [0.7729, 0.7729, 0.9708]],
  "n_ef_per_ev_cell": 9.2,
  "rho_g_cm3": 14.1,
  "final_energy_ev_per_atom": -9.74,
  "spacegroup": "C2/m (12)"
}